# 1
Ho12Er7In | PBE | relaxed

a = 11.9261 Å, b = 11.9261 Å, c = 15.2872 Å
α = 90.00°, β = 90.00°, γ = 120.00°
Closest atoms and distances in Å follow each position.
Space group R-3 (No. 148, hexagonal axes)
Asymmetric unit:
Ho 0.0320 0.4545 0.2110  5 Ho 3.23-3.47, 1 In 3.27, 2 Er 3.52-3.58
Ho 0.0563 0.5863 0.5863  2 Er 3.19-3.46, 4 Ho 3.20-3.41
Er 0.0000 0.0000 0.0000  6 Ho 3.19
Er 0.0521 0.1879 0.3015  3 Er 3.31-3.47, 5 Ho 3.46-3.69, 1 In 3.64
In 0.0000 0.0000 0.5000  6 Ho 3.27, 6 Er 3.64

Output
E = -4.308 eV/atom
formation energy = 172.7 meV/atom

=====

# 2
HoErIn | PBE | relaxed

a = 3.5126 Å, b = 3.5126 Å, c = 13.6592 Å
α = 90.00°, β = 90.00°, γ = 90.00°
Closest atoms and distances in Å follow each position.
Space group I4mm (No. 107)
Asymmetric unit:
Ho 0.0000 0.0000 0.0000  4 In 3.29, 4 Ho 3.51, 4 Er 3.56
Er 0.0000 0.0000 0.6864  4 In 3.27, 4 Er 3.51, 4 Ho 3.56
In 0.0000 0.0000 0.3426  4 Er 3.27, 4 Ho 3.29, 4 In 3.51

Output
E = -4.274 eV/atom
formation energy = -314.6 meV/atom
distance to the lowest polymorph of the same formula = 0 meV per atom

=====

# 3
Ho3ErIn | PBE | relaxed

a = 5.8541 Å, b = 12.2403 Å, c = 8.7448 Å
α = 90.00°, β = 90.00°, γ = 90.00°
Closest atoms and distances in Å follow each position.
Space group Cmcm (No. 63)
Asymmetric unit:
Ho 0.0000 0.0617 0.2500  2 Er 2.93, 2 Ho 3.11, 1 In 3.17
Ho 0.0000 0.1758 0.5683  3 Ho 3.11-3.31, 3 In 3.30-3.33, 1 Er 3.47
Er 0.0000 0.4276 0.7500  2 Ho 2.93, 1 In 3.08
In 0.0000 0.3206 0.2500  1 Er 3.08, 7 Ho 3.17-3.33

Output
E = -3.908 eV/atom
formation energy = 298.6 meV/atom
distance to the lowest polymorph of the same formula = 483 meV per atom

=====

# 4
Ho2ErIn4 | PBE | relaxed

a = 5.2235 Å, b = 5.2235 Å, c = 14.5136 Å
α = 90.00°, β = 90.00°, γ = 90.00°
Closest atoms and distances in Å follow each position.
Space group I4/mmm (No. 139)
Asymmetric unit:
Ho 0.0000 0.0000 0.2503  8 In 3.26-3.27, 1 Er 3.63
Er 0.0000 0.0000 0.0000  8 In 3.10
In 0.0000 0.5000 0.1149  2 Er 3.10, 4 Ho 3.26-3.27, 1 In 3.34

Output
E = -3.829 eV/atom
formation energy = -304.8 meV/atom

=====

Q: Look up the E of the first one.
A: -4.308 eV/atom